VASP calculation (PBE) on crystalline FeS2NCl at its relaxed geometry.

abc: 4.6895 4.6895 3.4277
angles: 90.00 90.00 90.00
Last column: nearest neighbours and their distance in Å.
Fractional coordinates of all 5 atoms:
Fe1 0.0000 0.0000 0.0000  2 N 1.71
S1 0.0000 0.5000 0.0000  2 Fe 2.34
S2 0.5000 0.0000 0.0000  2 Fe 2.34
N1 0.0000 0.0000 0.5000  2 Fe 1.71
Cl1 0.5000 0.5000 0.5000  8 S 2.90

Values from the calculation:
- Final energy: -4.69 eV per atom
- Size of the total moment: 0.000 μB per atom
- DOS at the Fermi energy: 5.87 states/eV/cell
- Formation energy from raw total energies: 691 meV per atom

VASP calculation (PBE) on crystalline Cs3Cu2Cl7 at its relaxed geometry.

abc: 13.3816 13.3816 4.9651
angles: 90.00 90.00 157.76
Last column: nearest neighbours and their distance in Å.
Fractional coordinates of all 12 atoms:
Cs1 0.0000 0.0000 0.0000  12 Cl 3.47-3.58
Cs2 0.1825 0.8175 0.0000  8 Cl 3.43-3.58
Cs3 0.8175 0.1825 0.0000  8 Cl 3.43-3.58
Cu1 0.4070 0.5930 0.5000  6 Cl 2.38-2.58
Cu2 0.5930 0.4070 0.5000  6 Cl 2.38-2.58
Cl1 0.0921 0.9079 0.5000  2 Cu 2.58
Cl2 0.3165 0.6835 0.5000  1 Cu 2.38
Cl3 0.4081 0.5919 0.0000  2 Cu 2.48
Cl4 0.5000 0.5000 0.5000  2 Cu 2.44
Cl5 0.5919 0.4081 0.0000  2 Cu 2.48
Cl6 0.6835 0.3165 0.5000  1 Cu 2.38
Cl7 0.9079 0.0921 0.5000  2 Cu 2.58

Values from the calculation:
- Final energy: -3.20 eV per atom
- Size of the total moment: 0.000 μB per atom
- DOS at the Fermi energy: 3.58 states/eV/cell
- Formation energy from raw total energies: -1231 meV per atom

VASP calculation (PBE) on crystalline Rb3Sm2HoSe6 at its relaxed geometry.

abc: 7.4366 7.4366 8.3845
angles: 98.50 98.50 120.00
Last column: nearest neighbours and their distance in Å.
Fractional coordinates of all 12 atoms:
Rb1 0.0000 0.0000 0.0000  6 Se 3.45-3.50
Rb2 0.3321 0.6679 0.0000  6 Se 3.45-3.49
Rb3 0.6679 0.3321 0.0000  6 Se 3.45-3.49
Sm1 0.1665 0.8335 0.5000  6 Se 2.96
Sm2 0.8335 0.1665 0.5000  6 Se 2.96
Ho1 0.5000 0.5000 0.5000  6 Se 2.90
Se1 0.1068 0.4342 0.3026  1 Ho 2.90, 2 Sm 2.96
Se2 0.2386 0.2386 0.6978  1 Ho 2.90, 2 Sm 2.96
Se3 0.4342 0.1068 0.3026  1 Ho 2.90, 2 Sm 2.96
Se4 0.5658 0.8932 0.6974  1 Ho 2.90, 2 Sm 2.96
Se5 0.7614 0.7614 0.3022  1 Ho 2.90, 2 Sm 2.96
Se6 0.8932 0.5658 0.6974  1 Ho 2.90, 2 Sm 2.96

Values from the calculation:
- Final energy: -4.89 eV per atom
- Size of the total moment: 0.000 μB per atom
- DOS at the Fermi energy: 0.00 states/eV/cell
- Formation energy from raw total energies: -1736 meV per atom

VASP calculation (PBE) on crystalline Sr3Cd2Hg2 at its relaxed geometry.

abc: 12.7484 12.7484 4.1151
angles: 90.00 90.00 160.05
Last column: nearest neighbours and their distance in Å.
Fractional coordinates of all 7 atoms:
Sr1 0.0000 0.0000 0.0000  8 Cd 3.60, 2 Sr 3.94
Sr2 0.1568 0.8432 0.0000  4 Hg 3.32, 4 Cd 3.61
Sr3 0.8432 0.1568 0.0000  4 Hg 3.32, 4 Cd 3.61
Cd1 0.4219 0.5781 0.5000  1 Hg 3.35, 8 Sr 3.60-3.61
Cd2 0.5781 0.4219 0.5000  1 Hg 3.35, 8 Sr 3.60-3.61
Hg1 0.2886 0.7114 0.5000  2 Hg 2.94
Hg2 0.7114 0.2886 0.5000  2 Hg 2.94

Values from the calculation:
- Final energy: -1.45 eV per atom
- Size of the total moment: 0.000 μB per atom
- DOS at the Fermi energy: 5.01 states/eV/cell

VASP calculation (PBE) on crystalline Ce4UP6 at its relaxed geometry.

abc: 7.9715 7.9715 7.9715
angles: 89.03 89.03 89.03
Last column: nearest neighbours and their distance in Å.
Fractional coordinates of all 22 atoms:
Ce1 0.1284 0.7500 0.3716  8 P 2.86-3.10
Ce2 0.2500 0.2500 0.2500  6 P 2.92
Ce3 0.2500 0.6284 0.8716  8 P 2.86-3.10
Ce4 0.3716 0.1284 0.7500  8 P 2.86-3.10
Ce5 0.6284 0.8716 0.2500  8 P 2.86-3.10
Ce6 0.7500 0.3716 0.1284  8 P 2.86-3.10
Ce7 0.7500 0.7500 0.7500  6 P 2.92
Ce8 0.8716 0.2500 0.6284  8 P 2.86-3.10
U1 0.0000 0.0000 0.0000  6 P 2.67
U2 0.5000 0.5000 0.5000  6 P 2.67
P1 0.0685 0.9152 0.6837  1 U 2.67, 2 Ce 2.86-2.92
P2 0.0848 0.3163 0.9315  1 U 2.67, 2 Ce 2.86-2.92
P3 0.1837 0.4152 0.5685  1 U 2.67, 2 Ce 2.86-2.92
P4 0.3163 0.9315 0.0848  1 U 2.67, 2 Ce 2.86-2.92
P5 0.4152 0.5685 0.1837  1 U 2.67, 2 Ce 2.86-2.92
P6 0.4315 0.8163 0.5848  1 U 2.67, 2 Ce 2.86-2.92
P7 0.5685 0.1837 0.4152  1 U 2.67, 2 Ce 2.86-2.92
P8 0.5848 0.4315 0.8163  1 U 2.67, 2 Ce 2.86-2.92
P9 0.6837 0.0685 0.9152  1 U 2.67, 2 Ce 2.86-2.92
P10 0.8163 0.5848 0.4315  1 U 2.67, 2 Ce 2.86-2.92
P11 0.9152 0.6837 0.0685  1 U 2.67, 2 Ce 2.86-2.92
P12 0.9315 0.0848 0.3163  1 U 2.67, 2 Ce 2.86-2.92

Values from the calculation:
- Final energy: -7.31 eV per atom
- Size of the total moment: 0.360 μB per atom
- DOS at the Fermi energy: 47.47 states/eV/cell

VASP calculation (PBE) on crystalline Li2Ga4Co at its relaxed geometry.

abc: 5.1053 5.1053 5.1053
angles: 112.30 112.30 103.94
Last column: nearest neighbours and their distance in Å.
Fractional coordinates of all 7 atoms:
Li1 0.0000 0.5000 0.5000  8 Ga 2.55, 2 Co 2.84
Li2 0.5000 0.0000 0.5000  8 Ga 2.55, 2 Co 2.84
Ga1 0.0000 0.0000 0.5000  4 Li 2.55, 2 Co 2.55, 4 Ga 2.84
Ga2 0.0000 0.5000 0.0000  4 Li 2.55, 2 Co 2.55, 4 Ga 2.84
Ga3 0.5000 0.0000 0.0000  4 Li 2.55, 2 Co 2.55, 4 Ga 2.84
Ga4 0.5000 0.5000 0.5000  4 Li 2.55, 2 Co 2.55, 4 Ga 2.84
Co1 0.0000 0.0000 0.0000  8 Ga 2.55, 4 Li 2.84

Values from the calculation:
- Final energy: -3.46 eV per atom
- Size of the total moment: 0.000 μB per atom
- DOS at the Fermi energy: 2.31 states/eV/cell

VASP calculation (PBE) on crystalline Na2YCl at its relaxed geometry.

abc: 7.1714 7.1714 7.1714
angles: 98.86 98.86 133.80
Last column: nearest neighbours and their distance in Å.
Fractional coordinates of all 8 atoms:
Na1 0.0570 0.6250 0.9320  2 Cl 2.97, 2 Na 3.09
Na2 0.3750 0.3070 0.4320  2 Cl 2.97, 2 Na 3.09
Na3 0.6930 0.1250 0.0680  2 Cl 2.97, 2 Na 3.09
Na4 0.8750 0.9430 0.5680  2 Cl 2.97, 2 Na 3.09
Y1 0.2500 0.7500 0.5000  2 Cl 2.81
Y2 0.5000 0.5000 0.0000  2 Cl 2.81
Cl1 0.0000 0.0000 0.0000  2 Y 2.81, 4 Na 2.97
Cl2 0.7500 0.2500 0.5000  2 Y 2.81, 4 Na 2.97

Values from the calculation:
- Final energy: -3.08 eV per atom
- Size of the total moment: 0.012 μB per atom
- DOS at the Fermi energy: 4.69 states/eV/cell
- Formation energy from raw total energies: -340 meV per atom

VASP calculation (PBE) on crystalline BeHg2OsI at its relaxed geometry.

abc: 5.4375 5.4375 4.3623
angles: 90.00 90.00 90.00
Last column: nearest neighbours and their distance in Å.
Fractional coordinates of all 5 atoms:
Be1 0.0000 0.0000 0.0000  2 Os 2.18
Hg1 0.0000 0.5000 0.5000  2 Os 2.72
Hg2 0.5000 0.0000 0.5000  2 Os 2.72
Os1 0.0000 0.0000 0.5000  2 Be 2.18
I1 0.5000 0.5000 0.0000  8 Hg 3.49, 4 Be 3.84

Values from the calculation:
- Final energy: -2.57 eV per atom
- Size of the total moment: 0.216 μB per atom
- DOS at the Fermi energy: 2.86 states/eV/cell
- Formation energy from raw total energies: 855 meV per atom

VASP calculation (PBE) on crystalline Si2AgSnOs at its relaxed geometry.

abc: 5.0273 5.0273 4.9936
angles: 90.00 90.00 90.00
Last column: nearest neighbours and their distance in Å.
Fractional coordinates of all 5 atoms:
Si1 0.0000 0.5000 0.0000  2 Sn 2.51
Si2 0.5000 0.0000 0.0000  2 Sn 2.51
Ag1 0.0000 0.0000 0.5000  2 Sn 2.50
Sn1 0.0000 0.0000 0.0000  2 Ag 2.50, 4 Si 2.51
Os1 0.5000 0.5000 0.5000  8 Si 3.54, 4 Ag 3.55

Values from the calculation:
- Final energy: -3.73 eV per atom
- Size of the total moment: 0.478 μB per atom
- DOS at the Fermi energy: 5.90 states/eV/cell
- Formation energy from raw total energies: 2057 meV per atom

VASP calculation (PBE) on crystalline RbCo2Bi2 at its relaxed geometry.

abc: 6.0854 6.0854 6.0854
angles: 131.47 131.47 71.06
Last column: nearest neighbours and their distance in Å.
Fractional coordinates of all 5 atoms:
Rb1 0.0000 0.0000 0.0000  8 Bi 3.52, 10 Co 3.72-3.81
Co1 0.3843 0.3843 0.0000  1 Co 2.29
Co2 0.6157 0.6157 0.0000  1 Co 2.29
Bi1 0.2500 0.7500 0.5000  4 Co 2.83
Bi2 0.7500 0.2500 0.5000  4 Co 2.83

Values from the calculation:
- Final energy: -4.20 eV per atom
- Size of the total moment: 0.544 μB per atom
- DOS at the Fermi energy: 3.78 states/eV/cell

VASP calculation (PBE) on crystalline BaCN3 at its relaxed geometry.

abc: 3.7982 3.7982 3.7982
angles: 90.00 90.00 90.00
Last column: nearest neighbours and their distance in Å.
Fractional coordinates of all 5 atoms:
Ba1 0.0000 0.0000 0.0000  12 N 2.69
C1 0.5000 0.5000 0.5000  6 N 1.90
N1 0.0000 0.5000 0.5000  2 C 1.90
N2 0.5000 0.0000 0.5000  2 C 1.90
N3 0.5000 0.5000 0.0000  2 C 1.90

Values from the calculation:
- Final energy: -5.18 eV per atom
- Size of the total moment: 0.000 μB per atom
- DOS at the Fermi energy: 4.06 states/eV/cell
- Formation energy from raw total energies: 2049 meV per atom

VASP calculation (PBE) on crystalline Pm3NiBi at its relaxed geometry.

abc: 4.3138 6.8713 9.8047
angles: 90.00 90.00 90.00
Last column: nearest neighbours and their distance in Å.
Fractional coordinates of all 10 atoms:
Pm1 0.2500 0.0054 0.1498  3 Ni 2.83-2.93
Pm2 0.2500 0.2500 0.5908  1 Ni 3.08, 2 Bi 3.20
Pm3 0.2500 0.4946 0.1498  3 Ni 2.83-2.93
Pm4 0.7500 0.5054 0.8502  3 Ni 2.83-2.93
Pm5 0.7500 0.7500 0.4092  1 Ni 3.08, 2 Bi 3.20
Pm6 0.7500 0.9946 0.8502  3 Ni 2.83-2.93
Ni1 0.2500 0.2500 0.9052  7 Pm 2.83-3.08
Ni2 0.7500 0.7500 0.0948  7 Pm 2.83-3.08
Bi1 0.2500 0.7500 0.6497  8 Pm 3.20-3.48
Bi2 0.7500 0.2500 0.3503  8 Pm 3.20-3.48

Values from the calculation:
- Final energy: -5.25 eV per atom
- Size of the total moment: 0.000 μB per atom
- DOS at the Fermi energy: 8.54 states/eV/cell